1.
This record from Alexandria describes crystalline Tm4ZnPd3 at its relaxed geometry. The functional is GGA-PBE.

The structure belongs to space group Pmm2 (No. 25); the cell edges are 3.666, 4.504 and 10.568 Å and the angles 90.00°, 90.00° and 90.00°. Symmetry generates all atoms from Tm at (0.000, 0.000, 0.000), Tm at (0.000, 0.500, 0.272), Tm at (0.500, 0.000, 0.488), Tm at (0.500, 0.500, 0.776), Zn at (0.000, 0.000, 0.713), Pd at (0.000, 0.500, 0.556), Pd at (0.500, 0.000, 0.221) and Pd at (0.500, 0.500, 0.047).

As for the calculated formation energy: -6.44 eV/f.u. Its volume is 21.81 Å³ per atom. The calculation puts the total magnetization at 0.00 μB/f.u. The calculation puts the calculated density at 10.1 g/cm³.


2.
This record from Alexandria describes crystalline Cs3Li2YBr8 at its relaxed geometry. The functional is GGA-PBE.

The structure belongs to space group P-3m1 (No. 164); the cell edges are 7.8958, 7.8958 and 10.2322 Å and the angles 90.00°, 90.00° and 120.00°. Symmetry generates all atoms from Cs at (0.0000, 0.0000, 0.0000), Cs at (0.3333, 0.6667, 0.6507), Li at (0.3333, 0.6667, 0.2156), Y at (0.0000, 0.0000, 0.5000), Br at (0.1648, 0.3297, 0.3376) and Br at (0.3333, 0.6667, 0.9845).

Its volume is 39.46 Å³ per atom. The calculation puts the total magnetization at 0.00 μB/f.u. The energy relative to the elements, uncorrected is -24.254 eV per formula unit. The calculation puts the calculated density at 3.4 g/cm³.


3.
This record from Alexandria describes crystalline Si3PtBr at its relaxed geometry. The functional is GGA-PBE.

The structure belongs to space group Pm-3m (No. 221); the cell edges are 4.806, 4.806 and 4.806 Å and the angles 90.00°, 90.00° and 90.00°. Symmetry generates all atoms from Si at (0.000, 0.000, 0.500), Pt at (0.000, 0.000, 0.000) and Br at (0.500, 0.500, 0.500).

For the energy above the most stable polymorph in this dataset, the calculation gives 0.000 eV/atom. Its volume is 22.20 Å³ per atom. The calculation puts the total magnetization at 0.00 μB/f.u. The energy relative to the elements, uncorrected is 2.219 eV per formula unit. The calculation puts the calculated density at 5.4 g/cm³.


4.
This record from Alexandria describes crystalline VCd2Ni at its relaxed geometry. The functional is GGA-PBE.

The structure belongs to space group Fm-3m (No. 225); the cell edges are 6.459, 6.459 and 6.459 Å and the angles 90.00°, 90.00° and 90.00°. Symmetry generates all atoms from V at (0.000, 0.000, 0.000), Cd at (0.250, 0.250, 0.250) and Ni at (0.000, 0.000, 0.500).

As for the calculated formation energy: 1.31 eV/f.u. For the energy above the most stable polymorph in this dataset, the calculation gives 0.000 eV/atom. Its volume is 16.84 Å³ per atom. The calculation puts the total magnetization at 2.72 μB/f.u. The calculation puts the calculated density at 8.2 g/cm³.


5.
This record from Alexandria describes crystalline MgPPd2Pt at its relaxed geometry. The functional is GGA-PBE.

The structure belongs to space group P4mm (No. 99); the cell edges are 3.933, 3.933 and 5.583 Å and the angles 90.00°, 90.00° and 90.00°. Symmetry generates all atoms from Mg at (0.000, 0.000, 0.000), P at (0.500, 0.500, 0.623), Pd at (0.000, 0.500, 0.391) and Pt at (0.500, 0.500, 0.020).

As for the calculated formation energy: -2.89 eV/f.u. Its volume is 17.27 Å³ per atom. The calculation puts the total magnetization at 0.00 μB/f.u. The calculation puts the calculated density at 8.9 g/cm³.


6.
This record from Alexandria describes crystalline ErScGa2 at its relaxed geometry. The functional is GGA-PBE.

The structure belongs to space group Amm2 (No. 38); the cell edges are 3.942, 4.201 and 10.527 Å and the angles 90.00°, 90.00° and 90.00°. Symmetry generates all atoms from Er at (0.000, 0.000, 0.000), Sc at (0.500, 0.000, 0.277), Ga at (0.000, 0.000, 0.722) and Ga at (0.500, 0.000, 0.563).

As for the calculated formation energy: -2.42 eV/f.u. For the energy above the most stable polymorph in this dataset, the calculation gives 0.000 eV/atom. Its volume is 21.79 Å³ per atom. The calculation puts the total magnetization at 0.00 μB/f.u. The calculation puts the calculated density at 6.7 g/cm³.


7.
This record from Alexandria describes crystalline CrInRh2 at its relaxed geometry. The functional is GGA-PBE.

The structure belongs to space group P4/mmm (No. 123); the cell edges are 3.164, 3.164 and 6.170 Å and the angles 90.00°, 90.00° and 90.00°. Symmetry generates all atoms from Cr at (0.000, 0.000, 0.000), In at (0.000, 0.000, 0.500) and Rh at (0.500, 0.500, 0.228).

As for the calculated formation energy: -0.72 eV/f.u. Its volume is 15.44 Å³ per atom. The calculation puts the total magnetization at 3.03 μB/f.u. The calculation puts the calculated density at 10.0 g/cm³.


8.
This record from Alexandria describes crystalline PuIn2 at its relaxed geometry. The functional is GGA-PBE.

The structure belongs to space group Fd-3m (No. 227, origin choice 2); the cell edges are 8.529, 8.529 and 8.529 Å and the angles 90.00°, 90.00° and 90.00°. Symmetry generates all atoms from Pu at (0.125, 0.125, 0.125) and In at (0.000, 0.000, 0.500).

As for the calculated formation energy: -0.39 eV/f.u. Its volume is 25.85 Å³ per atom. The calculation puts the total magnetization at 6.10 μB/f.u. The calculation puts the calculated density at 10.1 g/cm³.


9.
This record from Alexandria describes crystalline PmHoIO6 at its relaxed geometry. The functional is GGA-PBE.

The structure belongs to space group P-31c (No. 163); the cell edges are 5.6318, 5.6318 and 9.8317 Å and the angles 90.00°, 90.00° and 120.00°. Symmetry generates all atoms from Pm at (0.0000, 0.0000, 0.0000), Ho at (0.3333, 0.6667, 0.2500), I at (0.3333, 0.6667, 0.7500) and O at (0.0333, 0.3686, 0.6368).

Its volume is 15.00 Å³ per atom. The calculation puts the total magnetization at 0.03 μB/f.u. The energy relative to the elements, uncorrected is -18.327 eV per formula unit. The calculation puts the calculated density at 6.6 g/cm³.


10.
This record from Alexandria describes crystalline TmIn2Sn at its relaxed geometry. The functional is GGA-PBE.

The structure belongs to space group P4/mmm (No. 123); the cell edges are 4.510, 4.510 and 4.924 Å and the angles 90.00°, 90.00° and 90.00°. Symmetry generates all atoms from Tm at (0.000, 0.000, 0.000), In at (0.000, 0.500, 0.500) and Sn at (0.500, 0.500, 0.000).

As for the calculated formation energy: -1.47 eV/f.u. For the energy above the most stable polymorph in this dataset, the calculation gives 0.000 eV/atom. Its volume is 25.04 Å³ per atom. The calculation puts the total magnetization at 0.00 μB/f.u. The calculation puts the calculated density at 8.6 g/cm³.


11.
This record from Alexandria describes crystalline ZnTcH2Cl at its relaxed geometry. The functional is GGA-PBE.

The structure belongs to space group P4/mmm (No. 123); the cell edges are 3.578, 3.578 and 5.007 Å and the angles 90.00°, 90.00° and 90.00°. Symmetry generates all atoms from Zn at (0.000, 0.000, 0.000), Tc at (0.500, 0.500, 0.000), H at (0.000, 0.500, 0.500) and Cl at (0.500, 0.500, 0.500).

As for the total energy: -2.980 eV/atom. Its volume is 12.82 Å³ per atom. The calculation puts the total magnetization at 1.69 μB/f.u. The calculation puts the calculated density at 5.2 g/cm³.


12.
This record from Alexandria describes crystalline Li6Cd2Au3 at its relaxed geometry. The functional is GGA-PBE.

The structure belongs to space group I4/mmm (No. 139); the cell edges are 4.941, 4.941 and 19.039 Å and the angles 90.00°, 90.00° and 90.00°. Symmetry generates all atoms from Li at (0.000, 0.000, 0.217), Li at (0.000, 0.500, 0.103), Cd at (0.000, 0.000, 0.070), Au at (0.000, 0.000, 0.351) and Au at (0.000, 0.000, 0.500).

As for the calculated formation energy: -1.24 eV/f.u. Its volume is 21.13 Å³ per atom. The calculation puts the total magnetization at 0.00 μB/f.u. The calculation puts the calculated density at 6.1 g/cm³.